VASP calculation (GGA-PBE) on an optimized crystal structure of NaLi2Cd9.

Calculated values
The total magnetic moment comes out at 0.0 μB per cell. The formation energy is -0.119 eV/atom.

Lattice parameters (Å, degrees): 4.4581 4.4581 13.0776 90.00 90.00 90.00
Space group P4/mmm (No. 123)
One atom of each set of equivalent atoms:
Na  0.0000  0.0000  0.0000
Li  0.0000  0.0000  0.3390
Cd  0.0000  0.5000  0.1779
Cd  0.0000  0.5000  0.5000
Cd  0.5000  0.5000  0.0000
Cd  0.5000  0.5000  0.3394


VASP calculation (GGA-PBE) on an optimized crystal structure of FeCo2Ag.

Calculated values
The energy above the most stable polymorph in this dataset comes out at 0.088 eV/atom. The total magnetic moment comes out at 12.0 μB per cell. The formation energy is 0.303 eV/atom.

Lattice parameters (Å, degrees): 8.6580 2.6633 4.5939 90.00 101.19 90.00
Space group Cm (No. 8)
One atom of each set of equivalent atoms:
Fe  0.0000  0.0000  0.0000
Co  0.2441  0.5000  0.2287
Co  0.4822  0.0000  0.4339
Ag  0.2403  0.0000  0.7211


VASP calculation (GGA-PBE) on an optimized crystal structure of CuTe2Br.

Calculated values
The total magnetic moment comes out at 0.0 μB per cell. The formation energy from raw total energies is 267 meV/atom.

Lattice parameters (Å, degrees): 4.0975 4.0975 8.0549 90.00 90.00 90.00
Space group P4/mmm (No. 123)
One atom of each set of equivalent atoms:
Cu  0.0000  0.0000  0.0000
Te  0.0000  0.5000  0.5000
Br  0.5000  0.5000  0.0000


VASP calculation (GGA-PBE) on an optimized crystal structure of Sb2OsPb.

Calculated values
The total magnetic moment comes out at 0.0 μB per cell. The formation energy from raw total energies is 290 meV/atom.

Lattice parameters (Å, degrees): 3.2291 3.2557 19.2813 90.00 90.00 90.00
Space group Imm2 (No. 44)
One atom of each set of equivalent atoms:
Sb  0.0000  0.0000  0.0000
Sb  0.0000  0.5000  0.1885
Os  0.0000  0.5000  0.6114
Pb  0.0000  0.0000  0.3482


VASP calculation (GGA-PBE) on an optimized crystal structure of CuSbRhF2.

Calculated values
The total magnetic moment comes out at 0.0 μB per cell. The formation energy from raw total energies is -669 meV/atom.

Lattice parameters (Å, degrees): 3.7345 3.7345 6.4909 90.00 90.00 90.00
Space group P4/mmm (No. 123)
One atom of each set of equivalent atoms:
Cu  0.0000  0.0000  0.0000
Sb  0.0000  0.0000  0.5000
Rh  0.5000  0.5000  0.5000
F  0.0000  0.5000  0.0000


VASP calculation (GGA-PBE) on an optimized crystal structure of Ac3PmPr2Y6.

Calculated values
The total magnetic moment comes out at 0.0 μB per cell. The formation energy is 0.032 eV/atom.

Lattice parameters (Å, degrees): 6.4691 11.2033 12.0324 90.00 100.32 90.00
Space group C2/m (No. 12)
One atom of each set of equivalent atoms:
Ac  0.0000  0.0000  0.0000
Ac  0.0000  0.3332  0.0000
Pm  0.0000  0.5000  0.5000
Pr  0.0000  0.1665  0.5000
Y  0.2484  0.0000  0.7444
Y  0.2477  0.3335  0.7443


VASP calculation (GGA-PBE) on an optimized crystal structure of ScCo2Sn2.

Calculated values
The energy above the most stable polymorph in this dataset comes out at 0.155 eV/atom. The total magnetic moment comes out at 0.6 μB per cell. The formation energy is -0.160 eV/atom.

Lattice parameters (Å, degrees): 7.2732 7.2732 3.1792 90.00 90.00 90.00
Space group P4/mbm (No. 127)
One atom of each set of equivalent atoms:
Sc  0.0000  0.0000  0.0000
Co  0.1314  0.3686  0.0000
Sn  0.1626  0.6626  0.5000


VASP calculation (GGA-PBE) on an optimized crystal structure of TbNdCdGe.

Calculated values
The total magnetic moment comes out at 0.0 μB per cell. The formation energy is -0.479 eV/atom.

Lattice parameters (Å, degrees): 7.4058 7.4058 7.4058 90.00 90.00 90.00
Space group F-43m (No. 216)
One atom of each set of equivalent atoms:
Tb  0.0000  0.0000  0.0000
Nd  0.0000  0.0000  0.5000
Cd  0.2500  0.2500  0.7500
Ge  0.2500  0.2500  0.2500